This record from the Alexandria database describes a relaxed ZrScOs2Pt crystal. The functional is PBE-GGA.

Cell and atoms, written as CIF:
```
data_ZrScOs2Pt
_symmetry_space_group_name_H-M 'P 1'
_symmetry_Int_Tables_number 1
_symmetry_space_group_name_Hall 'P 1'
_cell_length_a 4.559
_cell_length_b 4.753
_cell_length_c 4.559
_cell_angle_alpha 90.00
_cell_angle_beta 90.00
_cell_angle_gamma 90.00
loop_
_atom_site_label
_atom_site_fract_x
_atom_site_fract_y
_atom_site_fract_z
_atom_site_occupancy
Sc1 0.000 0.000 0.000 1
Os1 0.000 0.000 0.500 1
Os2 0.500 0.000 0.000 1
Zr1 0.000 0.500 0.000 1
Pt1 0.500 0.500 0.500 1
```

Summary:
The calculation puts the total energy at -7.0241 eV per atom. The value obtained for the formation energy from the elements is 1652 meV/atom.



This record from the Alexandria database describes a relaxed Ca5TlGe2 crystal. The functional is PBE-GGA.

Cell and atoms, written as CIF:
```
data_Ca5TlGe2
_symmetry_space_group_name_H-M 'P 1'
_symmetry_Int_Tables_number 1
_symmetry_space_group_name_Hall 'P 1'
_cell_length_a 7.858
_cell_length_b 7.858
_cell_length_c 9.453
_cell_angle_alpha 114.56
_cell_angle_beta 114.56
_cell_angle_gamma 90.00
loop_
_atom_site_label
_atom_site_fract_x
_atom_site_fract_y
_atom_site_fract_z
_atom_site_occupancy
Ca1 0.688 0.188 0.726 1
Ca2 0.462 0.312 0.274 1
Ca3 0.038 0.538 0.726 1
Ca4 0.312 0.812 0.274 1
Ca5 0.538 0.688 0.726 1
Ca6 0.962 0.462 0.274 1
Ca7 0.188 0.038 0.726 1
Ca8 0.812 0.962 0.274 1
Ca9 0.500 0.500 0.000 1
Ca10 0.000 0.000 0.000 1
Tl1 0.750 0.750 0.500 1
Tl2 0.250 0.250 0.500 1
Ge1 0.883 0.617 0.000 1
Ge2 0.617 0.117 0.000 1
Ge3 0.117 0.383 0.000 1
Ge4 0.383 0.883 0.000 1
```

Summary:
The calculation puts the total energy at -3.2527 eV per atom. The value obtained for the formation energy from the elements is -552 meV/atom.



This record from the Alexandria database describes a relaxed LaAl5Ni2 crystal. The functional is PBE-GGA.

Cell and atoms, written as CIF:
```
data_LaAl5Ni2
_symmetry_space_group_name_H-M 'P 1'
_symmetry_Int_Tables_number 1
_symmetry_space_group_name_Hall 'P 1'
_cell_length_a 4.025
_cell_length_b 6.336
_cell_length_c 6.336
_cell_angle_alpha 67.47
_cell_angle_beta 71.48
_cell_angle_gamma 71.48
loop_
_atom_site_label
_atom_site_fract_x
_atom_site_fract_y
_atom_site_fract_z
_atom_site_occupancy
Al1 0.341 0.469 0.849 1
Al2 0.341 0.849 0.469 1
Al3 0.659 0.151 0.531 1
Al4 0.659 0.531 0.151 1
Al5 0.000 0.500 0.500 1
La1 0.000 0.000 0.000 1
Ni1 0.236 0.264 0.264 1
Ni2 0.764 0.736 0.736 1
```

Summary:
The calculation puts the total energy at -5.0075 eV per atom. The value obtained for the formation energy from the elements is -607 meV/atom.



This record from the Alexandria database describes a relaxed AlAgBr2 crystal. The functional is PBE-GGA.

Cell and atoms, written as CIF:
```
data_AlAgBr2
_symmetry_space_group_name_H-M 'P 1'
_symmetry_Int_Tables_number 1
_symmetry_space_group_name_Hall 'P 1'
_cell_length_a 5.200
_cell_length_b 5.200
_cell_length_c 5.200
_cell_angle_alpha 60.00
_cell_angle_beta 60.00
_cell_angle_gamma 60.00
loop_
_atom_site_label
_atom_site_fract_x
_atom_site_fract_y
_atom_site_fract_z
_atom_site_occupancy
Al1 0.750 0.750 0.750 1
Ag1 0.500 0.500 0.500 1
Br1 0.000 0.000 0.000 1
Br2 0.250 0.250 0.250 1
```

Summary:
For the energy above the lowest structure with this stoichiometry, the calculation gives 0.661 eV per atom. The calculation puts the total energy at -2.3057 eV per atom. The energy relative to the elements, uncorrected is 0.72 eV/f.u.



This record from the Alexandria database describes a relaxed YbSnPd2 crystal. The functional is PBE-GGA.

Cell and atoms, written as CIF:
```
data_YbSnPd2
_symmetry_space_group_name_H-M 'P 1'
_symmetry_Int_Tables_number 1
_symmetry_space_group_name_Hall 'P 1'
_cell_length_a 4.754
_cell_length_b 4.754
_cell_length_c 4.754
_cell_angle_alpha 60.00
_cell_angle_beta 60.00
_cell_angle_gamma 60.00
loop_
_atom_site_label
_atom_site_fract_x
_atom_site_fract_y
_atom_site_fract_z
_atom_site_occupancy
Pd1 0.500 0.500 0.500 1
Pd2 0.000 0.000 0.000 1
Sn1 0.750 0.750 0.750 1
Yb1 0.250 0.250 0.250 1
```

Summary:
The calculation puts the total energy at -4.7986 eV per atom. The value obtained for the formation energy from the elements is -820 meV/atom.



This record from the Alexandria database describes a relaxed La10HoTm4 crystal. The functional is PBE-GGA.

Cell and atoms, written as CIF:
```
data_La10HoTm4
_symmetry_space_group_name_H-M 'P 1'
_symmetry_Int_Tables_number 1
_symmetry_space_group_name_Hall 'P 1'
_cell_length_a 10.421
_cell_length_b 8.871
_cell_length_c 8.871
_cell_angle_alpha 69.82
_cell_angle_beta 54.03
_cell_angle_gamma 54.03
loop_
_atom_site_label
_atom_site_fract_x
_atom_site_fract_y
_atom_site_fract_z
_atom_site_occupancy
La1 0.750 0.500 0.500 1
La2 0.955 0.642 0.119 1
La3 0.074 0.881 0.642 1
La4 0.250 0.500 0.500 1
La5 0.045 0.358 0.881 1
La6 0.284 0.642 0.119 1
La7 0.926 0.119 0.358 1
La8 0.403 0.881 0.642 1
La9 0.597 0.119 0.358 1
La10 0.716 0.358 0.881 1
Tm1 0.450 0.310 0.790 1
Tm2 0.550 0.690 0.210 1
Tm3 0.240 0.210 0.310 1
Tm4 0.760 0.790 0.690 1
Ho1 0.000 0.000 0.000 1
```

Summary:
The calculation puts the total energy at -4.3986 eV per atom. The value obtained for the formation energy from the elements is 384 meV/atom.



This record from the Alexandria database describes a relaxed SrHg2S crystal. The functional is PBE-GGA.

Cell and atoms, written as CIF:
```
data_SrHg2S
_symmetry_space_group_name_H-M 'P 1'
_symmetry_Int_Tables_number 1
_symmetry_space_group_name_Hall 'P 1'
_cell_length_a 8.807
_cell_length_b 8.807
_cell_length_c 6.869
_cell_angle_alpha 50.13
_cell_angle_beta 50.13
_cell_angle_gamma 90.00
loop_
_atom_site_label
_atom_site_fract_x
_atom_site_fract_y
_atom_site_fract_z
_atom_site_occupancy
Hg1 0.162 0.625 0.250 1
Hg2 0.588 0.125 0.250 1
Hg3 0.375 0.412 0.750 1
Hg4 0.875 0.838 0.750 1
Sr1 0.750 0.250 0.500 1
Sr2 0.000 0.000 0.000 1
S1 0.250 0.750 0.500 1
S2 0.500 0.500 0.000 1
```

Summary:
The calculation puts the total energy at -2.2713 eV per atom. The energy relative to the elements, uncorrected is -2.67 eV/f.u.



This record from the Alexandria database describes a relaxed BaSrHgH2 crystal. The functional is PBE-GGA.

Cell and atoms, written as CIF:
```
data_BaSrHgH2
_symmetry_space_group_name_H-M 'P 1'
_symmetry_Int_Tables_number 1
_symmetry_space_group_name_Hall 'P 1'
_cell_length_a 5.314
_cell_length_b 5.812
_cell_length_c 5.314
_cell_angle_alpha 90.00
_cell_angle_beta 90.00
_cell_angle_gamma 90.00
loop_
_atom_site_label
_atom_site_fract_x
_atom_site_fract_y
_atom_site_fract_z
_atom_site_occupancy
H1 0.500 0.000 0.000 1
H2 0.000 0.000 0.500 1
Sr1 0.000 0.500 0.000 1
Hg1 0.000 0.000 0.000 1
Ba1 0.500 0.500 0.500 1
```

Summary:
The calculation puts the total energy at -1.5291 eV per atom.



This record from the Alexandria database describes a relaxed FeCuAu2 crystal. The functional is PBE-GGA.

Cell and atoms, written as CIF:
```
data_FeCuAu2
_symmetry_space_group_name_H-M 'P 1'
_symmetry_Int_Tables_number 1
_symmetry_space_group_name_Hall 'P 1'
_cell_length_a 8.723
_cell_length_b 8.723
_cell_length_c 8.723
_cell_angle_alpha 19.10
_cell_angle_beta 19.10
_cell_angle_gamma 19.10
loop_
_atom_site_label
_atom_site_fract_x
_atom_site_fract_y
_atom_site_fract_z
_atom_site_occupancy
Au1 0.501 0.501 0.501 1
Au2 0.999 0.999 0.999 1
Cu1 0.250 0.250 0.250 1
Fe1 0.750 0.750 0.750 1
```

Summary:
The calculation puts the total energy at -4.6168 eV per atom. The value obtained for the formation energy from the elements is 162 meV/atom.



This record from the Alexandria database describes a relaxed LiTl crystal. The functional is PBE-GGA.

Cell and atoms, written as CIF:
```
data_LiTl
_symmetry_space_group_name_H-M 'P 1'
_symmetry_Int_Tables_number 1
_symmetry_space_group_name_Hall 'P 1'
_cell_length_a 8.045
_cell_length_b 8.045
_cell_length_c 5.114
_cell_angle_alpha 90.00
_cell_angle_beta 90.00
_cell_angle_gamma 120.00
loop_
_atom_site_label
_atom_site_fract_x
_atom_site_fract_y
_atom_site_fract_z
_atom_site_occupancy
Tl1 0.548 0.912 0.750 1
Tl2 0.636 0.548 0.250 1
Tl3 0.364 0.452 0.750 1
Tl4 0.452 0.088 0.250 1
Tl5 0.088 0.636 0.750 1
Tl6 0.912 0.364 0.250 1
Li1 0.803 0.752 0.750 1
Li2 0.197 0.248 0.250 1
Li3 0.949 0.197 0.750 1
Li4 0.051 0.803 0.250 1
Li5 0.248 0.051 0.750 1
Li6 0.752 0.949 0.250 1
```

Summary:
The calculation puts the total energy at -2.2382 eV per atom. The value obtained for the formation energy from the elements is -98 meV/atom.